# 1
## CaGa4Ni4 (GGA-PBE)

Data for a relaxed structure of CaGa4Ni4.

The structure in POSCAR format:
```
CaGa4Ni4
1.0
5.659 0.000 0.000
0.000 5.659 0.000
0.000 0.000 8.521
Ca Ga Ni
2 8 8
direct
0.250 0.750 0.250
0.750 0.250 0.750
0.029 0.250 0.054
0.250 0.029 0.554
0.250 0.471 0.554
0.471 0.250 0.054
0.529 0.750 0.946
0.750 0.529 0.446
0.750 0.971 0.446
0.971 0.750 0.946
0.029 0.250 0.342
0.250 0.029 0.842
0.250 0.471 0.842
0.471 0.250 0.342
0.529 0.750 0.658
0.750 0.529 0.158
0.750 0.971 0.158
0.971 0.750 0.658
```

Values from the calculation:
calculated density	6.7	Mg/m³
formation enthalpy at 0 K	-326.9	kJ/mol of formula units
E	-0.3317	Ry per atom

---

# 2
## Ca2Ga2Ni15 (GGA-PBE)

Data for a relaxed structure of Ca2Ga2Ni15.

The structure in POSCAR format:
```
Ca2Ga2Ni15
1.0
4.185 2.416 4.083
-4.185 2.416 4.083
0.000 -4.832 4.083
Ca Ga Ni
2 2 15
direct
0.150 0.150 0.150
0.850 0.850 0.850
0.396 0.396 0.396
0.604 0.604 0.604
0.000 0.500 0.500
0.157 0.157 0.649
0.157 0.649 0.157
0.206 0.500 0.794
0.206 0.794 0.500
0.351 0.843 0.843
0.500 0.000 0.500
0.500 0.206 0.794
0.500 0.500 0.000
0.500 0.794 0.206
0.649 0.157 0.157
0.794 0.206 0.500
0.794 0.500 0.206
0.843 0.351 0.843
0.843 0.843 0.351
```

Values from the calculation:
calculated density	7.4	Mg/m³
formation enthalpy at 0 K	-262.7	kJ/mol of formula units
E	-0.3849	Ry per atom

---

# 3
## Ca3Ga4Ni2 (GGA-PBE)

Data for a relaxed structure of Ca3Ga4Ni2.

The structure in POSCAR format:
```
Ca3Ga4Ni2
1.0
5.307 -2.181 0.000
5.307 2.181 0.000
-1.712 0.000 8.047
Ca Ga Ni
3 4 2
direct
0.000 0.000 0.000
0.388 0.388 0.305
0.612 0.612 0.695
0.112 0.112 0.411
0.279 0.279 0.916
0.721 0.721 0.084
0.888 0.888 0.589
0.304 0.304 0.629
0.696 0.696 0.371
```

Values from the calculation:
calculated density	4.6	Mg/m³
energy above the most stable polymorph in this dataset	0	meV per atom
formation enthalpy at 0 K	-393.8	kJ/mol of formula units
E	-0.2757	Ry per atom

---

# 4
## CaGa6Ni2 (GGA-PBE)

Data for a relaxed structure of CaGa6Ni2.

The structure in POSCAR format:
```
CaGa6Ni2
1.0
0.000 5.797 5.797
5.797 0.000 5.797
5.797 5.797 0.000
Ca Ga Ni
2 12 4
direct
0.125 0.125 0.125
0.875 0.875 0.875
0.150 0.150 0.600
0.150 0.600 0.150
0.150 0.600 0.600
0.400 0.400 0.850
0.400 0.850 0.400
0.400 0.850 0.850
0.600 0.150 0.150
0.600 0.150 0.600
0.600 0.600 0.150
0.850 0.400 0.400
0.850 0.400 0.850
0.850 0.850 0.400
0.000 0.500 0.500
0.500 0.000 0.500
0.500 0.500 0.000
0.500 0.500 0.500
```

Values from the calculation:
calculated density	4.9	Mg/m³
formation enthalpy at 0 K	-12.0	kJ/mol of formula units
E	-0.2601	Ry per atom

---

# 5
## Ca2Ga4Ni5 (GGA-PBE)

Data for a relaxed structure of Ca2Ga4Ni5.

The structure in POSCAR format:
```
Ca2Ga4Ni5
1.0
0.000 4.629 7.336
2.674 0.000 7.336
2.674 4.629 0.000
Ca Ga Ni
2 4 5
direct
0.130 0.130 0.870
0.870 0.870 0.130
0.211 0.532 0.468
0.468 0.789 0.211
0.532 0.211 0.789
0.789 0.468 0.532
0.000 0.000 0.500
0.250 0.250 0.250
0.500 0.500 0.000
0.500 0.500 0.500
0.750 0.750 0.750
```

Values from the calculation:
calculated density	6.0	Mg/m³
formation enthalpy at 0 K	-452.5	kJ/mol of formula units
E	-0.3321	Ry per atom

---

# 6
## CaGaNi3 (GGA-PBE)

Data for a relaxed structure of CaGaNi3.

The structure in POSCAR format:
```
CaGaNi3
1.0
4.537 0.000 0.000
0.000 4.537 0.000
0.000 0.000 4.537
Ca Ga Ni
1 1 3
direct
0.000 0.000 0.000
0.500 0.500 0.500
0.000 0.000 0.500
0.000 0.500 0.000
0.500 0.000 0.000
```

Values from the calculation:
calculated density	5.1	Mg/m³
energy above the most stable polymorph in this dataset	1593	meV per atom
formation enthalpy at 0 K	651.5	kJ/mol of formula units
E	-0.2296	Ry per atom

---

# 7
## Ca2Ga9Ni6 (GGA-PBE)

Data for a relaxed structure of Ca2Ga9Ni6.

The structure in POSCAR format:
```
Ca2Ga9Ni6
1.0
6.684 0.000 0.000
-3.342 5.788 0.000
0.000 0.000 8.300
Ca Ga Ni
2 9 6
direct
0.000 0.000 0.238
0.000 0.000 0.762
0.000 0.500 0.000
0.000 0.500 0.335
0.000 0.500 0.665
0.500 0.000 0.000
0.500 0.000 0.335
0.500 0.000 0.665
0.500 0.500 0.000
0.500 0.500 0.335
0.500 0.500 0.665
0.333 0.667 0.168
0.333 0.667 0.500
0.333 0.667 0.832
0.667 0.333 0.168
0.667 0.333 0.500
0.667 0.333 0.832
```

Values from the calculation:
calculated density	5.5	Mg/m³
formation enthalpy at 0 K	-456.2	kJ/mol of formula units
E	-0.3055	Ry per atom

---

# 8
## CaGa9Ni2 (GGA-PBE)

Data for a relaxed structure of CaGa9Ni2.

The structure in POSCAR format:
```
CaGa9Ni2
1.0
-5.542 5.542 3.336
5.542 -5.542 3.336
5.542 5.542 -3.336
Ca Ga Ni
2 18 4
direct
0.375 0.625 0.750
0.625 0.375 0.250
0.117 0.558 0.319
0.117 0.798 0.559
0.125 0.875 0.250
0.202 0.261 0.319
0.202 0.883 0.941
0.261 0.202 0.819
0.261 0.442 0.059
0.442 0.261 0.559
0.442 0.883 0.181
0.558 0.117 0.819
0.558 0.739 0.441
0.739 0.558 0.941
0.739 0.798 0.181
0.798 0.117 0.059
0.798 0.739 0.681
0.875 0.125 0.750
0.883 0.202 0.441
0.883 0.442 0.681
0.000 0.000 0.000
0.000 0.000 0.500
0.000 0.500 0.000
0.500 0.000 0.500
```

Values from the calculation:
calculated density	6.4	Mg/m³
energy above the most stable polymorph in this dataset	52	meV per atom
formation enthalpy at 0 K	-259.5	kJ/mol of formula units
E	-0.2664	Ry per atom

---

# 9
## Ca2Ga9Ni3 (GGA-PBE)

Data for a relaxed structure of Ca2Ga9Ni3.

The structure in POSCAR format:
```
Ca2Ga9Ni3
1.0
6.474 -3.723 0.000
6.474 3.723 0.000
-4.354 0.000 9.495
Ca Ga Ni
4 18 6
direct
0.084 0.251 0.250
0.251 0.084 0.750
0.749 0.916 0.250
0.916 0.749 0.750
0.022 0.858 0.071
0.142 0.978 0.429
0.190 0.358 0.572
0.207 0.582 0.251
0.311 0.481 0.941
0.358 0.190 0.072
0.372 0.628 0.750
0.418 0.793 0.249
0.481 0.311 0.441
0.519 0.689 0.559
0.582 0.207 0.751
0.628 0.372 0.250
0.642 0.810 0.928
0.689 0.519 0.059
0.793 0.418 0.749
0.810 0.642 0.428
0.858 0.022 0.571
0.978 0.142 0.929
0.000 0.500 0.000
0.164 0.668 0.500
0.332 0.836 0.000
0.500 0.000 0.500
0.668 0.164 0.000
0.836 0.332 0.500
```

Values from the calculation:
calculated density	6.4	Mg/m³
formation enthalpy at 0 K	-583.7	kJ/mol of formula units
E	-0.2868	Ry per atom

---

# 10
## Ca3Ga4Ni2 (GGA-PBE)

Data for a relaxed structure of Ca3Ga4Ni2.

The structure in POSCAR format:
```
Ca3Ga4Ni2
1.0
5.410 -2.119 0.000
5.410 2.119 0.000
-2.520 0.000 8.119
Ca Ga Ni
3 4 2
direct
0.000 0.000 0.000
0.384 0.384 0.624
0.616 0.616 0.376
0.098 0.098 0.645
0.287 0.287 0.930
0.713 0.713 0.070
0.902 0.902 0.355
0.309 0.309 0.229
0.691 0.691 0.771
```

Values from the calculation:
calculated density	4.6	Mg/m³
energy above the most stable polymorph in this dataset	20	meV per atom
formation enthalpy at 0 K	-376.4	kJ/mol of formula units
E	-0.2742	Ry per atom

---

# 11
## Ca3Ga2Ni6 (GGA-PBE)

Data for a relaxed structure of Ca3Ga2Ni6.

The structure in POSCAR format:
```
Ca3Ga2Ni6
1.0
-4.480 4.480 4.480
4.480 -4.480 4.480
4.480 4.480 -4.480
Ca Ga Ni
6 4 12
direct
0.000 0.293 0.293
0.000 0.707 0.707
0.293 0.000 0.293
0.293 0.293 0.000
0.707 0.000 0.707
0.707 0.707 0.000
0.000 0.000 0.500
0.000 0.500 0.000
0.500 0.000 0.000
0.500 0.500 0.500
0.000 0.333 0.667
0.000 0.667 0.333
0.333 0.000 0.667
0.333 0.333 0.666
0.333 0.666 0.333
0.333 0.667 0.000
0.334 0.667 0.667
0.666 0.333 0.333
0.667 0.000 0.333
0.667 0.333 0.000
0.667 0.334 0.667
0.667 0.667 0.334
```

Values from the calculation:
calculated density	5.7	Mg/m³
formation enthalpy at 0 K	-361.7	kJ/mol of formula units
E	-0.3374	Ry per atom

---

# 12
## Ca3GaNi8 (GGA-PBE)

Data for a relaxed structure of Ca3GaNi8.

The structure in POSCAR format:
```
Ca3GaNi8
1.0
2.498 1.442 8.144
-2.498 1.442 8.144
0.000 -2.884 8.144
Ca Ga Ni
3 1 8
direct
0.000 0.000 0.000
0.127 0.127 0.127
0.507 0.507 0.507
0.629 0.629 0.629
0.056 0.565 0.565
0.067 0.067 0.569
0.067 0.569 0.067
0.314 0.314 0.314
0.565 0.056 0.565
0.565 0.565 0.056
0.569 0.067 0.067
0.815 0.815 0.815
```

Values from the calculation:
calculated density	6.2	Mg/m³
formation enthalpy at 0 K	-229.5	kJ/mol of formula units
E	-0.3532	Ry per atom

---

# 13
## CaGa4Ni3 (GGA-PBE)

Data for a relaxed structure of CaGa4Ni3.

The structure in POSCAR format:
```
CaGa4Ni3
1.0
2.520 -3.976 0.000
2.520 3.976 0.000
0.000 0.000 6.949
Ca Ga Ni
1 4 3
direct
0.000 0.000 0.000
0.000 0.500 0.308
0.000 0.500 0.692
0.500 0.000 0.308
0.500 0.000 0.692
0.000 0.000 0.500
0.500 0.500 0.321
0.500 0.500 0.679
```

Values from the calculation:
calculated density	5.9	Mg/m³
formation enthalpy at 0 K	-173.7	kJ/mol of formula units
E	-0.3055	Ry per atom

---

# 14
## Ca4GaNi3 (GGA-PBE)

Data for a relaxed structure of Ca4GaNi3.

The structure in POSCAR format:
```
Ca4GaNi3
1.0
4.068 0.000 0.000
0.000 4.334 0.000
0.000 0.000 10.569
Ca Ga Ni
4 1 3
direct
0.000 0.000 0.000
0.000 0.500 0.477
0.500 0.000 0.696
0.500 0.500 0.206
0.000 0.500 0.790
0.000 0.000 0.292
0.500 0.000 0.393
0.500 0.500 0.905
```

Values from the calculation:
calculated density	3.6	Mg/m³
formation enthalpy at 0 K	-172.8	kJ/mol of formula units
E	-0.2772	Ry per atom

---

# 15
## Ca3Ga5Ni6 (GGA-PBE)

Data for a relaxed structure of Ca3Ga5Ni6.

The structure in POSCAR format:
```
Ca3Ga5Ni6
1.0
4.084 0.000 0.000
0.000 12.287 0.000
0.000 0.000 9.468
Ca Ga Ni
6 10 12
direct
0.250 0.086 0.245
0.250 0.414 0.245
0.250 0.750 0.260
0.750 0.250 0.740
0.750 0.586 0.755
0.750 0.914 0.755
0.250 0.080 0.648
0.250 0.420 0.648
0.250 0.632 0.990
0.250 0.750 0.615
0.250 0.868 0.990
0.750 0.132 0.010
0.750 0.250 0.385
0.750 0.368 0.010
0.750 0.580 0.352
0.750 0.920 0.352
0.250 0.055 0.912
0.250 0.250 0.510
0.250 0.250 0.985
0.250 0.445 0.912
0.250 0.578 0.495
0.250 0.922 0.495
0.750 0.078 0.505
0.750 0.422 0.505
0.750 0.555 0.088
0.750 0.750 0.015
0.750 0.750 0.490
0.750 0.945 0.088
```

Values from the calculation:
calculated density	5.7	Mg/m³
formation enthalpy at 0 K	-530.7	kJ/mol of formula units
E	-0.3220	Ry per atom

---

# 16
## Ca2GaNi3 (GGA-PBE)

Data for a relaxed structure of Ca2GaNi3.

The structure in POSCAR format:
```
Ca2GaNi3
1.0
5.298 0.000 0.000
-2.649 4.589 0.000
0.000 0.000 8.165
Ca Ga Ni
4 2 6
direct
0.333 0.667 0.064
0.333 0.667 0.436
0.667 0.333 0.564
0.667 0.333 0.936
0.000 0.000 0.000
0.000 0.000 0.500
0.169 0.337 0.750
0.169 0.831 0.750
0.337 0.169 0.250
0.663 0.831 0.750
0.831 0.169 0.250
0.831 0.663 0.250
```

Values from the calculation:
calculated density	5.5	Mg/m³
formation enthalpy at 0 K	-175.8	kJ/mol of formula units
E	-0.3209	Ry per atom

---

# 17
## Ca2GaNi (GGA-PBE)

Data for a relaxed structure of Ca2GaNi.

The structure in POSCAR format:
```
Ca2GaNi
1.0
3.552 0.000 0.000
0.000 3.552 0.000
0.000 0.000 7.119
Ca Ga Ni
2 1 1
direct
0.000 0.000 0.233
0.000 0.000 0.767
0.500 0.500 0.500
0.500 0.500 0.000
```

Values from the calculation:
calculated density	3.9	Mg/m³
formation enthalpy at 0 K	-69.6	kJ/mol of formula units
E	-0.2487	Ry per atom

---

# 18
## Ca2GaNi (GGA-PBE)

Data for a relaxed structure of Ca2GaNi.

The structure in POSCAR format:
```
Ca2GaNi
1.0
2.097 1.211 7.198
-2.097 1.211 7.198
0.000 -2.421 7.198
Ca Ga Ni
2 1 1
direct
0.000 0.000 0.000
0.174 0.174 0.174
0.420 0.420 0.420
0.754 0.754 0.754
```

Values from the calculation:
calculated density	3.2	Mg/m³
formation enthalpy at 0 K	-127.1	kJ/mol of formula units
E	-0.2596	Ry per atom